DFT (PBE-GGA) results for a relaxed Tm2Si3Ni2 crystal.

It has space group Cmcm (No. 63), with a = 4.029 Å, b = 17.114 Å, c = 6.549 Å, α = 90.00°, β = 90.00° and γ = 90.00°. The inequivalent atoms are Tm at (0.000, 0.052, 0.250), Tm at (0.000, 0.158, 0.750), Si at (0.000, 0.223, 0.250), Si at (0.000, 0.436, 0.066) and Ni at (0.000, 0.305, 0.554).

For the raw total energy, the calculation gives -6.059 eV/atom. The calculation puts the density of states at the Fermi level at 14.33 states/eV per cell. The value obtained for the polymorph energy (0 for the lowest one) is 0.000 eV/atom.

=====

DFT (PBE-GGA) results for a relaxed DyPu crystal.

It has space group P2_1/m (No. 11), with a = 3.391 Å, b = 5.302 Å, c = 6.660 Å, α = 90.00°, β = 104.63° and γ = 90.00°. The inequivalent atoms are Dy at (0.180, 0.250, 0.361) and Pu at (0.442, 0.250, 0.883).

For the raw total energy, the calculation gives -9.280 eV/atom. The calculation puts the formation energy from the elements at 0.187 eV per atom. The calculation puts the density of states at the Fermi level at 15.40 states/eV per cell.

=====

DFT (PBE-GGA) results for a relaxed SmGeP2N6 crystal.

It has space group C2/c (No. 15), with a = 9.937 Å, b = 10.156 Å, c = 5.701 Å, α = 90.00°, β = 115.85° and γ = 90.00°. The inequivalent atoms are Sm at (0.000, 0.122, 0.250), Ge at (0.000, 0.218, 0.750), P at (0.189, 0.425, 0.144), N at (0.096, 0.288, 0.073), N at (0.128, 0.090, 0.710) and N at (0.152, 0.493, 0.372).

For the raw total energy, the calculation gives -7.373 eV/atom. The calculation puts the density of states at the Fermi level at 10.09 states/eV per cell.